Record 1
DFT (GGA-PBE) results for an optimized crystal structure of SrPaWN4.

abc: 6.097 5.857 7.118
angles: 90.00 106.96 90.00
Atoms (fractional coordinates):
N: 0.962 0.007 0.695
N: 0.962 0.493 0.695
N: 0.467 0.750 0.176
N: 0.038 0.507 0.305
N: 0.529 0.250 0.427
N: 0.038 0.993 0.305
N: 0.533 0.250 0.824
N: 0.471 0.750 0.573
Sr: 0.294 0.250 0.074
Sr: 0.706 0.750 0.926
W: 0.260 0.750 0.328
W: 0.740 0.250 0.672
Pa: 0.198 0.250 0.548
Pa: 0.802 0.750 0.452

theoretical density	7.628	g cm⁻³
SG	No. 11
ΔE_f (raw)	-952	meV per atom
crystal system	monoclinic

Record 2
DFT (GGA-PBE) results for an optimized crystal structure of SrPaW2N6.

abc: 6.594 7.549 7.549
angles: 83.59 73.65 73.65
Atoms (fractional coordinates):
Sr: 0.750 0.094 0.906
Sr: 0.250 0.906 0.094
W: 0.797 0.622 0.789
W: 0.703 0.211 0.378
W: 0.297 0.789 0.622
W: 0.203 0.378 0.211
N: 0.413 0.336 0.358
N: 0.684 0.754 0.004
N: 0.816 0.996 0.246
N: 0.607 0.161 0.627
N: 0.087 0.642 0.664
N: 0.893 0.373 0.839
N: 0.107 0.627 0.161
N: 0.913 0.358 0.336
N: 0.393 0.839 0.373
N: 0.184 0.004 0.754
N: 0.316 0.246 0.996
N: 0.587 0.664 0.642
Pa: 0.750 0.709 0.291
Pa: 0.250 0.291 0.709

theoretical density	7.399	g cm⁻³
SG	No. 15
ΔE_f (raw)	-850	meV per atom
crystal system	monoclinic

Record 3
DFT (GGA-PBE) results for an optimized crystal structure of Sr4Pa3WN8.

abc: 7.009 7.200 7.010
angles: 119.12 120.00 90.00
Atoms (fractional coordinates):
N: 0.227 0.695 0.968
N: 0.733 0.698 0.465
N: 0.773 0.305 0.032
N: 0.227 0.695 0.454
N: 0.259 0.305 0.032
N: 0.267 0.302 0.535
N: 0.741 0.695 0.968
N: 0.773 0.305 0.546
Sr: 0.500 0.000 0.000
Sr: 0.000 0.000 0.000
Sr: 0.000 0.000 0.500
Sr: 0.500 0.000 0.500
Pa: 0.500 0.500 0.000
Pa: 0.500 0.500 0.500
Pa: 0.000 0.500 0.500
W: 0.000 0.500 0.000

theoretical density	8.777	g cm⁻³
SG	No. 166
ΔE_f (raw)	-1125	meV per atom
crystal system	trigonal

Record 4
DFT (GGA-PBE) results for an optimized crystal structure of Sr2PaWN5.

abc: 3.514 7.565 11.304
angles: 90.00 90.00 103.43
Atoms (fractional coordinates):
Sr: 0.139 0.279 0.284
Sr: 0.861 0.721 0.784
Sr: 0.114 0.228 0.711
Sr: 0.886 0.772 0.211
Pa: 0.216 0.432 0.008
Pa: 0.784 0.568 0.508
N: 0.049 0.099 0.020
N: 0.284 0.567 0.632
N: 0.617 0.234 0.511
N: 0.504 0.008 0.305
N: 0.496 0.992 0.805
N: 0.383 0.766 0.011
N: 0.951 0.901 0.520
N: 0.702 0.404 0.887
N: 0.716 0.433 0.132
N: 0.298 0.596 0.387
W: 0.496 0.993 0.466
W: 0.504 0.007 0.966

theoretical density	7.501	g cm⁻³
SG	No. 36
ΔE_f (raw)	-1111	meV per atom
crystal system	orthorhombic

> What is the ΔE_f (raw) in the first record?

-952 meV per atom